1.
Compound: Mn2FeIr
Source: the Alexandria database
Functional: GGA-PBE
Structure: optimized geometry

Structure (CIF):
```
data_Mn2FeIr
_chemical_formula_sum 'Mn4 Fe2 Ir2'
_space_group_name_H-M_alt 'C m m 2'
_space_group_IT_number 35
_cell_length_a 2.7790
_cell_length_b 4.3607
_cell_length_c 8.3601
_cell_angle_alpha 90.00
_cell_angle_beta 90.00
_cell_angle_gamma 90.00
loop_
_space_group_symop_operation_xyz
'x,y,z'
'-x,-y,z'
'-x,y,z'
'x,-y,z'
'x+1/2,y+1/2,z'
'-x+1/2,-y+1/2,z'
'-x+1/2,y+1/2,z'
'x+1/2,-y+1/2,z'
loop_
_atom_site_label
_atom_site_type_symbol
_atom_site_fract_x
_atom_site_fract_y
_atom_site_fract_z
Mn1 Mn 0.0000 0.0000 0.0000
Mn2 Mn 0.0000 0.5000 0.2349
Fe1 Fe 0.0000 0.0000 0.4742
Ir1 Ir 0.0000 0.5000 0.7383
```

Output
ΔE_f = 0.20 eV/atom
DOS at the Fermi energy = 12.28 states/eV per cell
Total magnetization = 6.3 μB/f.u.
Energy above the lowest structure with this stoichiometry = 1.31 eV per formula unit

---

2.
Compound: Mn2FeIr
Source: the Alexandria database
Functional: GGA-PBE
Structure: optimized geometry

Structure (CIF):
```
data_Mn2FeIr
_chemical_formula_sum 'Mn4 Fe2 Ir2'
_space_group_name_H-M_alt 'C m m m'
_space_group_IT_number 65
_space_group_name_Hall '-C 2 2'
_cell_length_a 5.1248
_cell_length_b 7.3200
_cell_length_c 2.6119
_cell_angle_alpha 90.00
_cell_angle_beta 90.00
_cell_angle_gamma 90.00
loop_
_atom_site_label
_atom_site_type_symbol
_atom_site_fract_x
_atom_site_fract_y
_atom_site_fract_z
Mn1 Mn 0.2500 0.2500 0.0000
Fe1 Fe 0.0000 0.0000 0.5000
Ir1 Ir 0.0000 0.5000 0.5000
```

Output
ΔE_f = -0.05 eV/atom
DOS at the Fermi energy = 8.89 states/eV per cell
Total magnetization = 1.4 μB/f.u.
Energy above the lowest structure with this stoichiometry = 0.33 eV per formula unit

---

3.
Compound: MnFe2Ir
Source: the Alexandria database
Functional: GGA-PBE
Structure: optimized geometry

Structure (CIF):
```
data_MnFe2Ir
_chemical_formula_sum 'Mn4 Fe8 Ir4'
_space_group_name_H-M_alt 'I -4 2 d'
_space_group_IT_number 122
_space_group_name_Hall 'I -4 2bw'
_cell_length_a 3.5634
_cell_length_b 3.5634
_cell_length_c 16.4750
_cell_angle_alpha 90.00
_cell_angle_beta 90.00
_cell_angle_gamma 90.00
loop_
_atom_site_label
_atom_site_type_symbol
_atom_site_fract_x
_atom_site_fract_y
_atom_site_fract_z
Mn1 Mn 0.0000 0.0000 0.0000
Fe1 Fe 0.2272 0.2500 0.1250
Ir1 Ir 0.0000 0.0000 0.5000
```

Output
ΔE_f = 0.55 eV/atom
DOS at the Fermi energy = 22.59 states/eV per cell
Total magnetization = 4.5 μB/f.u.

---

4.
Compound: Mn2FeIr2
Source: the Alexandria database
Functional: GGA-PBE
Structure: optimized geometry

Structure (CIF):
```
data_Mn2FeIr2
_chemical_formula_sum 'Mn4 Fe2 Ir4'
_space_group_name_H-M_alt 'P 4/m b m'
_space_group_IT_number 127
_space_group_name_Hall '-P 4 2ab'
_cell_length_a 6.9800
_cell_length_b 6.9800
_cell_length_c 2.6607
_cell_angle_alpha 90.00
_cell_angle_beta 90.00
_cell_angle_gamma 90.00
loop_
_atom_site_label
_atom_site_type_symbol
_atom_site_fract_x
_atom_site_fract_y
_atom_site_fract_z
Mn1 Mn 0.1187 0.3813 0.0000
Fe1 Fe 0.0000 0.0000 0.0000
Ir1 Ir 0.1759 0.6759 0.5000
```

Output
ΔE_f = 0.24 eV/atom
DOS at the Fermi energy = 15.86 states/eV per cell
Total magnetization = 0.0 μB/f.u.
Energy above the lowest structure with this stoichiometry = 0.00 eV per formula unit

---

5.
Compound: Mn2FeIr2
Source: the Alexandria database
Functional: GGA-PBE
Structure: optimized geometry

Structure (CIF):
```
data_Mn2FeIr2
_chemical_formula_sum 'Mn4 Fe2 Ir4'
_space_group_name_H-M_alt 'P 4/m b m'
_space_group_IT_number 127
_space_group_name_Hall '-P 4 2ab'
_cell_length_a 7.0724
_cell_length_b 7.0724
_cell_length_c 2.6432
_cell_angle_alpha 90.00
_cell_angle_beta 90.00
_cell_angle_gamma 90.00
loop_
_atom_site_label
_atom_site_type_symbol
_atom_site_fract_x
_atom_site_fract_y
_atom_site_fract_z
Mn1 Mn 0.1673 0.3327 0.0000
Fe1 Fe 0.0000 0.0000 0.5000
Ir1 Ir 0.1314 0.6314 0.5000
```

Output
ΔE_f = 0.29 eV/atom
DOS at the Fermi energy = 14.57 states/eV per cell
Total magnetization = 0.0 μB/f.u.
Energy above the lowest structure with this stoichiometry = 0.28 eV per formula unit

---

6.
Compound: MnFe4Ir15
Source: the Alexandria database
Functional: GGA-PBE
Structure: optimized geometry

Structure (CIF):
```
data_MnFe4Ir15
_chemical_formula_sum 'Mn1 Fe4 Ir15'
_space_group_name_H-M_alt 'P 4/m m m'
_space_group_IT_number 123
_space_group_name_Hall '-P 4 2'
_cell_length_a 3.8321
_cell_length_b 3.8321
_cell_length_c 19.1032
_cell_angle_alpha 90.00
_cell_angle_beta 90.00
_cell_angle_gamma 90.00
loop_
_atom_site_label
_atom_site_type_symbol
_atom_site_fract_x
_atom_site_fract_y
_atom_site_fract_z
Mn1 Mn 0.0000 0.0000 0.0000
Fe1 Fe 0.0000 0.0000 0.1994
Fe2 Fe 0.0000 0.0000 0.3998
Ir1 Ir 0.0000 0.5000 0.0995
Ir2 Ir 0.0000 0.5000 0.2996
Ir3 Ir 0.0000 0.5000 0.5000
Ir4 Ir 0.5000 0.5000 0.0000
Ir5 Ir 0.5000 0.5000 0.1997
Ir6 Ir 0.5000 0.5000 0.3998
```

Output
ΔE_f = -0.06 eV/atom
DOS at the Fermi energy = 23.27 states/eV per cell
Total magnetization = 14.7 μB/f.u.

---

7.
Compound: Mn2FeIr
Source: the Alexandria database
Functional: GGA-PBE
Structure: optimized geometry

Structure (CIF):
```
data_Mn2FeIr
_chemical_formula_sum 'Mn4 Fe2 Ir2'
_space_group_name_H-M_alt 'I 4/m m m'
_space_group_IT_number 139
_space_group_name_Hall '-I 4 2'
_cell_length_a 3.6372
_cell_length_b 3.6372
_cell_length_c 7.3276
_cell_angle_alpha 90.00
_cell_angle_beta 90.00
_cell_angle_gamma 90.00
loop_
_atom_site_label
_atom_site_type_symbol
_atom_site_fract_x
_atom_site_fract_y
_atom_site_fract_z
Mn1 Mn 0.0000 0.5000 0.2500
Fe1 Fe 0.0000 0.0000 0.0000
Ir1 Ir 0.0000 0.0000 0.5000
```

Output
ΔE_f = -0.09 eV/atom
DOS at the Fermi energy = 7.55 states/eV per cell
Total magnetization = 1.3 μB/f.u.
Energy above the lowest structure with this stoichiometry = 0.15 eV per formula unit

---

8.
Compound: MnFe2Ir
Source: the Alexandria database
Functional: GGA-PBE
Structure: optimized geometry

Structure (CIF):
```
data_MnFe2Ir
_chemical_formula_sum 'Mn3 Fe6 Ir3'
_space_group_name_H-M_alt 'R -3 m'
_space_group_IT_number 166
_space_group_name_Hall '-R 3 2"'
_cell_length_a 2.6120
_cell_length_b 2.6120
_cell_length_c 25.1523
_cell_angle_alpha 90.00
_cell_angle_beta 90.00
_cell_angle_gamma 120.00
loop_
_atom_site_label
_atom_site_type_symbol
_atom_site_fract_x
_atom_site_fract_y
_atom_site_fract_z
Mn1 Mn 0.0000 0.0000 0.0000
Fe1 Fe 0.0000 0.0000 0.2534
Ir1 Ir 0.0000 0.0000 0.5000
```

Output
ΔE_f = 0.13 eV/atom
DOS at the Fermi energy = 15.67 states/eV per cell
Total magnetization = 2.0 μB/f.u.

---

9.
Compound: MnFe2Ir
Source: the Alexandria database
Functional: GGA-PBE
Structure: optimized geometry

Structure (CIF):
```
data_MnFe2Ir
_chemical_formula_sum 'Mn2 Fe4 Ir2'
_space_group_name_H-M_alt 'I -4 m 2'
_space_group_IT_number 119
_space_group_name_Hall 'I -4 -2'
_cell_length_a 3.7001
_cell_length_b 3.7001
_cell_length_c 7.2846
_cell_angle_alpha 90.00
_cell_angle_beta 90.00
_cell_angle_gamma 90.00
loop_
_atom_site_label
_atom_site_type_symbol
_atom_site_fract_x
_atom_site_fract_y
_atom_site_fract_z
Mn1 Mn 0.0000 0.0000 0.0000
Fe1 Fe 0.0000 0.0000 0.5000
Fe2 Fe 0.0000 0.5000 0.2500
Ir1 Ir 0.0000 0.5000 0.7500
```

Output
ΔE_f = -0.10 eV/atom
DOS at the Fermi energy = 7.72 states/eV per cell
Total magnetization = 2.1 μB/f.u.

---

10.
Compound: MnFe2Ir
Source: the Alexandria database
Functional: GGA-PBE
Structure: optimized geometry

Structure (CIF):
```
data_MnFe2Ir
_chemical_formula_sum 'Mn2 Fe4 Ir2'
_space_group_name_H-M_alt 'I 4/m m m'
_space_group_IT_number 139
_space_group_name_Hall '-I 4 2'
_cell_length_a 3.6667
_cell_length_b 3.6667
_cell_length_c 7.4932
_cell_angle_alpha 90.00
_cell_angle_beta 90.00
_cell_angle_gamma 90.00
loop_
_atom_site_label
_atom_site_type_symbol
_atom_site_fract_x
_atom_site_fract_y
_atom_site_fract_z
Mn1 Mn 0.0000 0.0000 0.0000
Fe1 Fe 0.0000 0.5000 0.2500
Ir1 Ir 0.0000 0.0000 0.5000
```

Output
ΔE_f = -0.11 eV/atom
DOS at the Fermi energy = 5.45 states/eV per cell
Total magnetization = 2.1 μB/f.u.

---

11.
Compound: Mn2FeIr
Source: the Alexandria database
Functional: GGA-PBE
Structure: optimized geometry

Structure (CIF):
```
data_Mn2FeIr
_chemical_formula_sum 'Mn4 Fe2 Ir2'
_space_group_name_H-M_alt 'C 1 2/m 1'
_space_group_IT_number 12
_cell_length_a 8.4668
_cell_length_b 2.5906
_cell_length_c 4.4049
_cell_angle_alpha 90.00
_cell_angle_beta 100.31
_cell_angle_gamma 90.00
loop_
_space_group_symop_operation_xyz
'x,y,z'
'-x,-y,-z'
'-x,y,-z'
'x,-y,z'
'x+1/2,y+1/2,z'
'-x+1/2,-y+1/2,-z'
'-x+1/2,y+1/2,-z'
'x+1/2,-y+1/2,z'
loop_
_atom_site_label
_atom_site_type_symbol
_atom_site_fract_x
_atom_site_fract_y
_atom_site_fract_z
Mn1 Mn 0.2471 0.0000 0.2339
Fe1 Fe 0.0000 0.5000 0.0000
Ir1 Ir 0.0000 0.0000 0.5000
```

Output
ΔE_f = 0.01 eV/atom
DOS at the Fermi energy = 9.69 states/eV per cell
Total magnetization = 1.6 μB/f.u.
Energy above the lowest structure with this stoichiometry = 0.57 eV per formula unit

---

12.
Compound: Mn2Fe2Ir15
Source: the Alexandria database
Functional: GGA-PBE
Structure: optimized geometry

Structure (CIF):
```
data_Mn2Fe2Ir15
_chemical_formula_sum 'Mn6 Fe6 Ir45'
_space_group_name_H-M_alt 'R -3 m'
_space_group_IT_number 166
_space_group_name_Hall '-R 3 2"'
_cell_length_a 8.9012
_cell_length_b 8.9012
_cell_length_c 13.3505
_cell_angle_alpha 90.00
_cell_angle_beta 90.00
_cell_angle_gamma 120.00
loop_
_atom_site_label
_atom_site_type_symbol
_atom_site_fract_x
_atom_site_fract_y
_atom_site_fract_z
Mn1 Mn 0.0000 0.0000 0.1014
Fe1 Fe 0.0000 0.0000 0.2938
Ir1 Ir 0.0000 0.2989 0.0000
Ir2 Ir 0.0000 0.5000 0.5000
Ir3 Ir 0.0015 0.5007 0.1441
```

Output
ΔE_f = 0.38 eV/atom
DOS at the Fermi energy = 74.31 states/eV per cell
Total magnetization = 15.6 μB/f.u.